This record from Alexandria via LeMat-Bulk describes a geometry-optimized FeSb4Pt structure. The functional is PBE-GGA.

The structure in POSCAR format:
```
FeSb4Pt
1.0
0.0000 4.2522 4.2522
4.2522 0.0000 4.2522
4.2522 4.2522 0.0000
Fe Sb Pt
1 4 1
Direct
0.7500 0.7500 0.7500 Fe
0.8737 0.3754 0.3754 Sb
0.3754 0.3754 0.8737 Sb
0.3754 0.8737 0.3754 Sb
0.3754 0.3754 0.3754 Sb
0.0000 0.0000 0.0000 Pt
```

Summary:
E = -25.320 eV per formula unit
excess energy over the best structure of this formula in the dataset = 25.89 kcal/mol of atoms
ρ = 7.97 g/cm³
space group = F-43m
spin magnetization = 3.653 μB per formula unit